# 1
A geometry-optimized BeAs2P structure, computed with PBE.

abc: 4.715 4.715 5.661
angles: 90.00 90.00 90.00
Space group I4/mmm (No. 139)
Asymmetric unit:
Be 0.000 0.000 0.000 (multiplicity 2)
As 0.000 0.500 0.250 (multiplicity 4)
P 0.000 0.000 0.500 (multiplicity 2)

Results
ΔH_f (0 K) in meV/atom: 631
Total magnetic moment in μB/f.u.: 0.00
Distance to the lowest polymorph of the same formula in kJ/mol of atoms: 52.62


# 2
A geometry-optimized BeAs2P structure, computed with PBE.

abc: 2.854 2.854 7.956
angles: 90.00 90.00 90.00
Space group P4mm (No. 99)
Asymmetric unit:
Be 0.000 0.000 0.000 (multiplicity 1)
As 0.000 0.000 0.451 (multiplicity 1)
As 0.500 0.500 0.793 (multiplicity 1)
P 0.500 0.500 0.140 (multiplicity 1)

Results
ΔH_f (0 K) in meV/atom: 433
Total magnetic moment in μB/f.u.: 0.00
Distance to the lowest polymorph of the same formula in kJ/mol of atoms: 33.52


# 3
A geometry-optimized BeAs2P structure, computed with PBE.

abc: 2.677 3.289 7.162
angles: 90.00 90.00 90.00
Space group Pmmm (No. 47)
Asymmetric unit:
Be 0.000 0.000 0.000 (multiplicity 1)
As 0.500 0.500 0.207 (multiplicity 2)
P 0.000 0.000 0.500 (multiplicity 1)

Results
ΔH_f (0 K) in meV/atom: 561
Total magnetic moment in μB/f.u.: 0.00
Distance to the lowest polymorph of the same formula in kJ/mol of atoms: 45.84


# 4
A geometry-optimized Be2AsP structure, computed with PBE.

abc: 3.785 3.289 4.753
angles: 90.00 104.35 90.00
Space group P2/m (No. 10)
Asymmetric unit:
Be 0.127 0.000 0.242 (multiplicity 2)
As 0.500 0.500 0.000 (multiplicity 1)
P 0.000 0.500 0.500 (multiplicity 1)

Results
ΔH_f (0 K) in meV/atom: 322
Total magnetic moment in μB/f.u.: 0.00
Distance to the lowest polymorph of the same formula in kJ/mol of atoms: 33.03